Run P
## AlHgI2O (GGA-PBE)

Data for a relaxed structure of AlHgI2O.

Its size of the total moment is 0.480 μB per formula unit.

It has space group P4/mmm (No. 123), with a = 6.0739 Å, b = 6.0739 Å, c = 4.1438 Å, α = 90.00°, β = 90.00° and γ = 90.00°. The distinct sites, in fractional coordinates, are Al at (0.0000, 0.0000, 0.0000), Hg at (0.5000, 0.5000, 0.5000), I at (0.0000, 0.5000, 0.5000) and O at (0.5000, 0.5000, 0.0000).


Run Q
## AlHgI2O (GGA-PBE)

Data for a relaxed structure of AlHgI2O.

Its size of the total moment is 0.000 μB per formula unit.

It has space group P4/mmm (No. 123), with a = 6.1060 Å, b = 6.1060 Å, c = 3.4408 Å, α = 90.00°, β = 90.00° and γ = 90.00°. The distinct sites, in fractional coordinates, are Al at (0.0000, 0.0000, 0.0000), Hg at (0.5000, 0.5000, 0.5000), I at (0.0000, 0.5000, 0.0000) and O at (0.0000, 0.0000, 0.5000).


Stability summary - winner: run Q; margin: 1.002 eV/atom.


Run P
## AlHgTeI2 (GGA-PBE)

Data for a relaxed structure of AlHgTeI2.

Its size of the total moment is 0.000 μB per formula unit.

It has space group P4/mmm (No. 123), with a = 5.9535 Å, b = 5.9535 Å, c = 5.6533 Å, α = 90.00°, β = 90.00° and γ = 90.00°. The distinct sites, in fractional coordinates, are Al at (0.0000, 0.0000, 0.0000), Hg at (0.5000, 0.5000, 0.5000), Te at (0.5000, 0.5000, 0.0000) and I at (0.0000, 0.5000, 0.5000).


Run Q
## AlHgTeI2 (GGA-PBE)

Data for a relaxed structure of AlHgTeI2.

Its size of the total moment is 0.000 μB per formula unit.

It has space group P4/mmm (No. 123), with a = 5.5794 Å, b = 5.5794 Å, c = 5.4742 Å, α = 90.00°, β = 90.00° and γ = 90.00°. The distinct sites, in fractional coordinates, are Al at (0.0000, 0.0000, 0.0000), Hg at (0.5000, 0.5000, 0.5000), Te at (0.0000, 0.0000, 0.5000) and I at (0.0000, 0.5000, 0.0000).


Stability summary - winner: run Q; margin: 0.368 eV/atom.